Material: Zr3GaGe2
Method: DFT, PBE
State: relaxed

Output
E_form, eV per atom: -0.652
SG: Pnma, No. 62

Cell lengths 3.9291, 10.5717, 11.1538 Å; angles 90.00, 90.00, 90.00 degrees
Fractional positions:
1 Ge 0.2500 0.9879 0.3121
2 Ge 0.2500 0.8030 0.9875
3 Ge 0.2500 0.5121 0.8121
4 Ge 0.7500 0.4879 0.1879
5 Ge 0.7500 0.3030 0.5125
6 Ge 0.2500 0.6970 0.4875
7 Ge 0.7500 0.0121 0.6879
8 Ge 0.7500 0.1970 0.0125
9 Ga 0.2500 0.1235 0.1293
10 Ga 0.7500 0.6235 0.3707
11 Ga 0.7500 0.8765 0.8707
12 Ga 0.2500 0.3765 0.6293
13 Zr 0.2500 0.7911 0.7148
14 Zr 0.2500 0.0687 0.8774
15 Zr 0.2500 0.7089 0.2148
16 Zr 0.7500 0.2089 0.2852
17 Zr 0.2500 0.1188 0.5435
18 Zr 0.2500 0.4313 0.3774
19 Zr 0.7500 0.8812 0.4565
20 Zr 0.2500 0.3812 0.0435
21 Zr 0.7500 0.6188 0.9565
22 Zr 0.7500 0.2911 0.7852
23 Zr 0.7500 0.5687 0.6226
24 Zr 0.7500 0.9313 0.1226

Material: Zr5Ga2Ge
Method: DFT, PBE
State: relaxed

Output
E_form, eV per atom: -0.564
SG: I4/mcm, No. 140

Cell lengths 7.2058, 7.2058, 8.0373 Å; angles 116.63, 116.63, 90.00 degrees
Fractional positions:
1 Zr 0.0000 0.0000 0.0000
2 Zr 0.1851 0.0089 0.6940
3 Zr 0.5089 0.6851 0.6940
4 Zr 0.9911 0.4911 0.3060
5 Zr 0.4911 0.3149 0.3060
6 Zr 0.0089 0.5089 0.6940
7 Zr 0.5000 0.5000 0.0000
8 Zr 0.8149 0.9911 0.3060
9 Zr 0.6851 0.1851 0.6940
10 Zr 0.3149 0.8149 0.3060
11 Ge 0.2500 0.2500 0.5000
12 Ge 0.7500 0.7500 0.5000
13 Ga 0.8671 0.6329 0.0000
14 Ga 0.1329 0.3671 0.0000
15 Ga 0.6329 0.1329 0.0000
16 Ga 0.3671 0.8671 0.0000

Material: Zr3Ga2Ge
Method: DFT, PBE
State: relaxed

Output
E_form, eV per atom: -0.573
SG: Pnma, No. 62

Cell lengths 3.9068, 10.6759, 11.3023 Å; angles 90.00, 90.00, 90.00 degrees
Fractional positions:
1 Zr 0.7500 0.2065 0.2849
2 Zr 0.7500 0.2935 0.7849
3 Zr 0.2500 0.3837 0.0415
4 Zr 0.2500 0.1163 0.5415
5 Zr 0.2500 0.7065 0.2151
6 Zr 0.7500 0.8837 0.4585
7 Zr 0.7500 0.9355 0.1171
8 Zr 0.2500 0.0645 0.8829
9 Zr 0.7500 0.6163 0.9585
10 Zr 0.2500 0.7935 0.7151
11 Zr 0.7500 0.5645 0.6171
12 Zr 0.2500 0.4355 0.3829
13 Ga 0.7500 0.2987 0.5098
14 Ga 0.7500 0.2013 0.0098
15 Ga 0.2500 0.7987 0.9902
16 Ga 0.2500 0.9822 0.3105
17 Ga 0.2500 0.5178 0.8105
18 Ga 0.7500 0.4822 0.1895
19 Ga 0.2500 0.7013 0.4902
20 Ga 0.7500 0.0178 0.6895
21 Ge 0.2500 0.3748 0.6305
22 Ge 0.7500 0.8748 0.8695
23 Ge 0.2500 0.1252 0.1305
24 Ge 0.7500 0.6252 0.3695

Material: Zr3GaGe
Method: DFT, PBE
State: relaxed

Output
E_form, eV per atom: 0.175
SG: Pm-3m, No. 221

Cell lengths 4.9873, 4.9873, 4.9873 Å; angles 90.00, 90.00, 90.00 degrees
Fractional positions:
1 Ga 0.5000 0.5000 0.5000
2 Zr 0.5000 0.0000 0.0000
3 Zr 0.0000 0.5000 0.0000
4 Zr 0.0000 0.0000 0.5000
5 Ge 0.0000 0.0000 0.0000

Material: Zr2Ga2Ge
Method: DFT, PBE
State: relaxed

Output
E_form, eV per atom: -0.416
SG: P4/mbm, No. 127

Cell lengths 7.0716, 7.0716, 4.1152 Å; angles 90.00, 90.00, 90.00 degrees
Fractional positions:
1 Zr 0.8350 0.6650 0.0000
2 Zr 0.3350 0.8350 0.0000
3 Zr 0.6650 0.1650 0.0000
4 Zr 0.1650 0.3350 0.0000
5 Ga 0.8614 0.3614 0.5000
6 Ga 0.3614 0.1386 0.5000
7 Ga 0.6386 0.8614 0.5000
8 Ga 0.1386 0.6386 0.5000
9 Ge 0.0000 0.0000 0.0000
10 Ge 0.5000 0.5000 0.0000

Material: Zr2GaGe2
Method: DFT, PBE
State: relaxed

Output
E_form, eV per atom: -0.451
SG: P4/mbm, No. 127

Cell lengths 7.2205, 7.2205, 3.8792 Å; angles 90.00, 90.00, 90.00 degrees
Fractional positions:
1 Zr 0.3261 0.8261 0.0000
2 Zr 0.6739 0.1739 0.0000
3 Zr 0.1739 0.3261 0.0000
4 Zr 0.8261 0.6739 0.0000
5 Ga 0.5000 0.5000 0.0000
6 Ga 0.0000 0.0000 0.0000
7 Ge 0.1274 0.6274 0.5000
8 Ge 0.6274 0.8726 0.5000
9 Ge 0.3726 0.1274 0.5000
10 Ge 0.8726 0.3726 0.5000

Material: ZrGa2Ge
Method: DFT, PBE
State: relaxed

Output
E_form, eV per atom: -0.411
SG: I4/mmm, No. 139

Cell lengths 3.9003, 3.9034, 5.4116 Å; angles 111.14, 111.12, 90.00 degrees
Fractional positions:
1 Ga 0.7500 0.2500 0.5000
2 Ga 0.2500 0.7500 0.5000
3 Zr 0.5000 0.5000 0.0000
4 Ge 0.0000 0.0000 0.0000

Material: Zr3GaGe
Method: DFT, PBE
State: relaxed

Output
E_form, eV per atom: -0.499
SG: Cm, No. 8

Cell lengths 4.2259, 7.0253, 7.5934 Å; angles 73.11, 73.85, 90.00 degrees
Fractional positions:
1 Zr 0.8064 0.6122 0.1600
2 Zr 0.3698 0.0011 0.0336
3 Zr 0.2177 0.2799 0.3376
4 Zr 0.6578 0.8961 0.4575
5 Zr 0.0110 0.9385 0.7511
6 Zr 0.0179 0.4441 0.7371
7 Ge 0.5758 0.2273 0.6211
8 Ge 0.2001 0.6905 0.3727
9 Ga 0.4463 0.6441 0.8801
10 Ga 0.8297 0.2079 0.1136

Material: Zr4Ga5Ge
Method: DFT, PBE
State: relaxed

Output
E_form, eV per atom: -0.438
SG: Pmmn, No. 59

Cell lengths 4.0797, 10.4181, 9.2497 Å; angles 90.00, 90.00, 90.00 degrees
Fractional positions:
1 Zr 0.2501 0.5000 0.7994
2 Zr 0.7499 0.7496 0.0000
3 Zr 0.2501 0.5000 0.2006
4 Zr 0.7499 0.0000 0.7006
5 Zr 0.2501 0.7504 0.5000
6 Zr 0.7499 0.2504 0.0000
7 Zr 0.2501 0.2496 0.5000
8 Zr 0.7499 0.0000 0.2994
9 Ga 0.7501 0.6777 0.3068
10 Ga 0.2499 0.0000 0.5000
11 Ga 0.2499 0.8223 0.8068
12 Ga 0.2499 0.1777 0.1932
13 Ga 0.7501 0.5000 0.0000
14 Ga 0.7501 0.3223 0.3068
15 Ga 0.2499 0.1777 0.8068
16 Ga 0.7501 0.6777 0.6932
17 Ga 0.2499 0.8223 0.1932
18 Ga 0.7501 0.3223 0.6932
19 Ge 0.7492 0.0000 0.0000
20 Ge 0.2508 0.5000 0.5000

Material: ZrGa2Ge2
Method: DFT, PBE
State: relaxed

Output
E_form, eV per atom: -0.065
SG: I4/mmm, No. 139

Cell lengths 3.7441, 3.7441, 7.4355 Å; angles 75.42, 75.42, 90.00 degrees
Fractional positions:
1 Ga 0.2500 0.7500 0.5000
2 Ga 0.7500 0.2500 0.5000
3 Ge 0.4080 0.4080 0.1840
4 Ge 0.5920 0.5920 0.8160
5 Zr 0.0000 0.0000 0.0000

Material: ZrGa2Ge2
Method: DFT, PBE
State: relaxed

Output
E_form, eV per atom: -0.117
SG: P4/mbm, No. 127

Cell lengths 7.1657, 7.1657, 3.6354 Å; angles 90.00, 90.00, 90.00 degrees
Fractional positions:
1 Zr 0.0000 0.0000 0.0000
2 Zr 0.5000 0.5000 0.0000
3 Ga 0.6659 0.8341 0.5000
4 Ga 0.8341 0.3341 0.5000
5 Ga 0.1659 0.6659 0.5000
6 Ga 0.3341 0.1659 0.5000
7 Ge 0.6335 0.1335 0.0000
8 Ge 0.1335 0.3665 0.0000
9 Ge 0.8665 0.6335 0.0000
10 Ge 0.3665 0.8665 0.0000

Material: Zr2GaGe2
Method: DFT, PBE
State: relaxed

Output
E_form, eV per atom: -0.475
SG: P4/mbm, No. 127

Cell lengths 7.0342, 7.0342, 3.8436 Å; angles 90.00, 90.00, 90.00 degrees
Fractional positions:
1 Ge 0.3631 0.8631 0.0000
2 Ge 0.8631 0.6369 0.0000
3 Ge 0.1369 0.3631 0.0000
4 Ge 0.6369 0.1369 0.0000
5 Zr 0.6648 0.8352 0.5000
6 Zr 0.3352 0.1648 0.5000
7 Zr 0.8352 0.3352 0.5000
8 Zr 0.1648 0.6648 0.5000
9 Ga 0.5000 0.5000 0.0000
10 Ga 0.0000 0.0000 0.0000